K2BaPbCl8 | PBE | relaxed

The raw formation energy comes out at -1.523 eV/atom.

Lattice parameters (Å, degrees): 5.8524 9.3504 7.6995 90.00 106.76 90.00
Element x y z (fractional)
K 0.0000 0.2505 0.0000
K 0.0000 0.7495 0.0000
Ba 0.5000 0.0000 0.5000
Pb 0.5000 0.5000 0.5000
Cl 0.0125 0.0000 0.7461
Cl 0.0730 0.5000 0.2985
Cl 0.4314 0.2932 0.7108
Cl 0.4314 0.7068 0.7108
Cl 0.5686 0.2932 0.2892
Cl 0.5686 0.7068 0.2892
Cl 0.9270 0.5000 0.7015
Cl 0.9875 0.0000 0.2539

***

KBaPmCl6 | PBE | relaxed

The raw formation energy comes out at -2.289 eV/atom.

Lattice parameters (Å, degrees): 7.6241 7.6241 12.8700 90.00 90.00 120.00
Element x y z (fractional)
K 0.3333 0.6667 0.2500
K 0.6667 0.3333 0.7500
Ba 0.0000 0.0000 0.0000
Ba 0.0000 0.0000 0.5000
Pm 0.3333 0.6667 0.7500
Pm 0.6667 0.3333 0.2500
Cl 0.0419 0.3648 0.6303
Cl 0.0419 0.6770 0.8697
Cl 0.3230 0.3648 0.8697
Cl 0.3230 0.9581 0.6303
Cl 0.3648 0.0419 0.1303
Cl 0.3648 0.3230 0.3697
Cl 0.6352 0.6770 0.6303
Cl 0.6352 0.9581 0.8697
Cl 0.6770 0.0419 0.3697
Cl 0.6770 0.6352 0.1303
Cl 0.9581 0.3230 0.1303
Cl 0.9581 0.6352 0.3697

***

K2BaPtCl8 | PBE | relaxed

The raw formation energy comes out at -1.425 eV/atom.

Lattice parameters (Å, degrees): 6.7572 6.7572 8.3611 90.00 90.00 120.00
Element x y z (fractional)
K 0.3333 0.6667 0.3464
K 0.6667 0.3333 0.6536
Ba 0.0000 0.0000 0.0000
Pt 0.0000 0.0000 0.5000
Cl 0.1601 0.3202 0.6718
Cl 0.1601 0.8399 0.6718
Cl 0.3202 0.1601 0.3282
Cl 0.3333 0.6667 0.9920
Cl 0.6667 0.3333 0.0080
Cl 0.6798 0.8399 0.6718
Cl 0.8399 0.1601 0.3282
Cl 0.8399 0.6798 0.3282

***

K2BaPuCl8 | PBE | relaxed

The raw formation energy comes out at -1.965 eV/atom.

Lattice parameters (Å, degrees): 5.5178 9.6740 7.4916 90.00 100.70 90.00
Element x y z (fractional)
K 0.0000 0.2477 0.0000
K 0.0000 0.7523 0.0000
Ba 0.5000 0.0000 0.5000
Pu 0.5000 0.5000 0.5000
Cl 0.0200 0.0000 0.7421
Cl 0.0720 0.5000 0.2879
Cl 0.4364 0.2904 0.7159
Cl 0.4364 0.7096 0.7159
Cl 0.5636 0.2904 0.2841
Cl 0.5636 0.7096 0.2841
Cl 0.9280 0.5000 0.7121
Cl 0.9800 0.0000 0.2579

***

KBaPuCl6 | PBE | relaxed

The raw formation energy comes out at -2.123 eV/atom.

Lattice parameters (Å, degrees): 7.7566 7.7566 12.7484 90.00 90.00 120.00
Element x y z (fractional)
K 0.0000 0.0000 0.0000
K 0.0000 0.0000 0.5000
Ba 0.3333 0.6667 0.2500
Ba 0.6667 0.3333 0.7500
Pu 0.3333 0.6667 0.7500
Pu 0.6667 0.3333 0.2500
Cl 0.0351 0.3740 0.6330
Cl 0.0351 0.6611 0.8670
Cl 0.3389 0.3740 0.8670
Cl 0.3389 0.9649 0.6330
Cl 0.3740 0.0351 0.1330
Cl 0.3740 0.3389 0.3670
Cl 0.6260 0.6611 0.6330
Cl 0.6260 0.9649 0.8670
Cl 0.6611 0.0351 0.3670
Cl 0.6611 0.6260 0.1330
Cl 0.9649 0.3389 0.1330
Cl 0.9649 0.6260 0.3670

***

KRb2BaCl6 | PBE | relaxed

The raw formation energy comes out at -1.718 eV/atom.

Lattice parameters (Å, degrees): 8.4776 8.4776 8.4776 60.00 60.00 60.00
Element x y z (fractional)
K 0.0000 0.0000 0.0000
Rb 0.2500 0.2500 0.2500
Rb 0.7500 0.7500 0.7500
Ba 0.5000 0.5000 0.5000
Cl 0.2497 0.2497 0.7503
Cl 0.2497 0.7503 0.2497
Cl 0.2497 0.7503 0.7503
Cl 0.7503 0.2497 0.2497
Cl 0.7503 0.2497 0.7503
Cl 0.7503 0.7503 0.2497

***

K2BaRhCl8 | PBE | relaxed

The raw formation energy comes out at -1.432 eV/atom.

Lattice parameters (Å, degrees): 5.6946 7.5187 9.0616 89.96 89.96 72.92
Element x y z (fractional)
K 0.0014 0.0005 0.2407
K 0.9986 0.9995 0.7593
Ba 0.5000 0.5000 0.5000
Rh 0.5000 0.5000 0.0000
Cl 0.0422 0.2500 0.5004
Cl 0.0941 0.6741 0.0005
Cl 0.4332 0.3009 0.8109
Cl 0.4340 0.3004 0.1893
Cl 0.5660 0.6996 0.8107
Cl 0.5668 0.6991 0.1891
Cl 0.9059 0.3259 0.9995
Cl 0.9578 0.7500 0.4996

***

KBaRhCl6 | PBE | relaxed

The raw formation energy comes out at -1.475 eV/atom.

Lattice parameters (Å, degrees): 7.1642 7.1642 6.2716 90.00 90.00 120.00
Element x y z (fractional)
K 0.0000 0.0000 0.0000
Ba 0.3333 0.6667 0.5000
Rh 0.6667 0.3333 0.0000
Cl 0.4006 0.0613 0.7764
Cl 0.4006 0.3392 0.2236
Cl 0.6608 0.0613 0.2236
Cl 0.6608 0.5994 0.7764
Cl 0.9387 0.3392 0.7764
Cl 0.9387 0.5994 0.2236

***

KBaRuCl6 | PBE | relaxed

The raw formation energy comes out at -1.457 eV/atom.

Lattice parameters (Å, degrees): 7.3536 7.3536 12.3207 90.00 90.00 120.00
Element x y z (fractional)
K 0.0000 0.0000 0.0000
K 0.0000 0.0000 0.5000
Ba 0.3333 0.6667 0.2500
Ba 0.6667 0.3333 0.7500
Ru 0.3333 0.6667 0.7500
Ru 0.6667 0.3333 0.2500
Cl 0.0704 0.4020 0.6358
Cl 0.0704 0.6684 0.8642
Cl 0.3316 0.4020 0.8642
Cl 0.3316 0.9296 0.6358
Cl 0.4020 0.0704 0.1358
Cl 0.4020 0.3316 0.3642
Cl 0.5980 0.6684 0.6358
Cl 0.5980 0.9296 0.8642
Cl 0.6684 0.0704 0.3642
Cl 0.6684 0.5980 0.1358
Cl 0.9296 0.3316 0.1358
Cl 0.9296 0.5980 0.3642

***

K2BaRuCl | PBE | relaxed

The raw formation energy comes out at 0.095 eV/atom.

Lattice parameters (Å, degrees): 5.6512 5.6512 6.2953 90.00 90.00 90.00
Element x y z (fractional)
K 0.0000 0.5000 0.0000
K 0.5000 0.0000 0.0000
Ba 0.0000 0.0000 0.5000
Ru 0.5000 0.5000 0.5000
Cl 0.0000 0.0000 0.0000

***

K2BaRuCl8 | PBE | relaxed

The raw formation energy comes out at -1.445 eV/atom.

Lattice parameters (Å, degrees): 5.8105 9.0251 7.6810 90.00 108.99 90.00
Element x y z (fractional)
K 0.0000 0.2426 0.0000
K 0.0000 0.7574 0.0000
Ba 0.5000 0.5000 0.5000
Ru 0.5000 0.0000 0.5000
Cl 0.0327 0.5000 0.7509
Cl 0.0949 0.0000 0.3208
Cl 0.4348 0.1898 0.6950
Cl 0.4348 0.8102 0.6950
Cl 0.5652 0.1898 0.3050
Cl 0.5652 0.8102 0.3050
Cl 0.9051 0.0000 0.6792
Cl 0.9673 0.5000 0.2491

***

KBaS2Cl | PBE | relaxed

The raw formation energy comes out at -0.707 eV/atom. Its energy above the most stable polymorph in this dataset is 193 meV per atom.

Lattice parameters (Å, degrees): 5.5227 5.5227 5.5730 90.00 90.00 90.00
Element x y z (fractional)
K 0.0000 0.0000 0.0000
Ba 0.5000 0.5000 0.5000
S 0.0000 0.5000 0.0000
S 0.5000 0.0000 0.0000
Cl 0.0000 0.0000 0.5000

***

KBaS2Cl | PBE | relaxed

The raw formation energy comes out at -0.900 eV/atom. Its energy above the most stable polymorph in this dataset is 0 meV per atom.

Lattice parameters (Å, degrees): 6.0432 6.0432 6.0372 90.00 90.00 90.00
Element x y z (fractional)
K 0.0000 0.0000 0.0000
Ba 0.5000 0.5000 0.5000
S 0.0000 0.5000 0.5000
S 0.5000 0.0000 0.5000
Cl 0.5000 0.5000 0.0000

***

KBaScCl2 | PBE | relaxed

The raw formation energy comes out at -0.569 eV/atom.

Lattice parameters (Å, degrees): 5.8849 5.8849 9.6143 90.00 90.00 90.00
Element x y z (fractional)
K 0.0000 0.0000 0.0000
Ba 0.0000 0.0000 0.5000
Sc 0.5000 0.5000 0.0000
Cl 0.0000 0.5000 0.5000
Cl 0.5000 0.0000 0.5000

***

KBaScCl6 | PBE | relaxed

The raw formation energy comes out at -2.224 eV/atom.

Lattice parameters (Å, degrees): 7.4805 7.4805 12.5761 90.00 90.00 120.00
Element x y z (fractional)
K 0.0000 0.0000 0.0000
K 0.0000 0.0000 0.5000
Ba 0.3333 0.6667 0.2500
Ba 0.6667 0.3333 0.7500
Sc 0.3333 0.6667 0.7500
Sc 0.6667 0.3333 0.2500
Cl 0.0576 0.3924 0.6347
Cl 0.0576 0.6652 0.8653
Cl 0.3348 0.3924 0.8653
Cl 0.3348 0.9424 0.6347
Cl 0.3924 0.0576 0.1347
Cl 0.3924 0.3348 0.3653
Cl 0.6076 0.6652 0.6347
Cl 0.6076 0.9424 0.8653
Cl 0.6652 0.0576 0.3653
Cl 0.6652 0.6076 0.1347
Cl 0.9424 0.3348 0.1347
Cl 0.9424 0.6076 0.3653

***

K2BaScCl | PBE | relaxed

The raw formation energy comes out at -0.065 eV/atom.

Lattice parameters (Å, degrees): 7.6480 7.6480 4.8919 90.00 90.00 90.00
Element x y z (fractional)
K 0.0000 0.5000 0.0000
K 0.5000 0.0000 0.0000
Ba 0.0000 0.0000 0.5000
Sc 0.5000 0.5000 0.0000
Cl 0.5000 0.5000 0.5000

***

KBaSeCl | PBE | relaxed

The raw formation energy comes out at -1.957 eV/atom. Its energy above the most stable polymorph in this dataset is 0 meV per atom.

Lattice parameters (Å, degrees): 4.6481 4.6481 6.5575 90.00 90.00 90.00
Element x y z (fractional)
K 0.0000 0.0000 0.0000
Ba 0.5000 0.5000 0.5000
Se 0.0000 0.0000 0.5000
Cl 0.5000 0.5000 0.0000

***

KBaSeCl | PBE | relaxed

The raw formation energy comes out at -1.835 eV/atom. Its energy above the most stable polymorph in this dataset is 122 meV per atom.

Lattice parameters (Å, degrees): 7.8571 7.8571 7.8571 90.00 90.00 90.00
Element x y z (fractional)
K 0.0000 0.0000 0.0000
K 0.0000 0.5000 0.5000
K 0.5000 0.0000 0.5000
K 0.5000 0.5000 0.0000
Ba 0.0000 0.0000 0.5000
Ba 0.0000 0.5000 0.0000
Ba 0.5000 0.0000 0.0000
Ba 0.5000 0.5000 0.5000
Se 0.2500 0.2500 0.7500
Se 0.2500 0.7500 0.2500
Se 0.7500 0.2500 0.2500
Se 0.7500 0.7500 0.7500
Cl 0.2500 0.2500 0.2500
Cl 0.2500 0.7500 0.7500
Cl 0.7500 0.2500 0.7500
Cl 0.7500 0.7500 0.2500

***

KBa2SrCl | PBE | relaxed

The raw formation energy comes out at -0.626 eV/atom. Its energy above the most stable polymorph in this dataset is 0 meV per atom.

Lattice parameters (Å, degrees): 6.4997 6.4997 6.3292 90.00 90.00 90.00
Element x y z (fractional)
K 0.0000 0.0000 0.0000
Ba 0.0000 0.5000 0.5000
Ba 0.5000 0.0000 0.5000
Sr 0.5000 0.5000 0.0000
Cl 0.0000 0.0000 0.5000

***

KBa2SrCl | PBE | relaxed

The raw formation energy comes out at -0.563 eV/atom. Its energy above the most stable polymorph in this dataset is 62 meV per atom.

Lattice parameters (Å, degrees): 6.7010 6.7010 5.9541 90.00 90.00 90.00
Element x y z (fractional)
K 0.0000 0.0000 0.0000
Ba 0.0000 0.5000 0.5000
Ba 0.5000 0.0000 0.5000
Sr 0.5000 0.5000 0.0000
Cl 0.5000 0.5000 0.5000